Entry 1:
# PBE V4FeRh2, optimized geometry
# spin magnetization: 0.0 μB per formula unit
# calculated volume: 15.5 Å³/atom
# ΔH_f (0 K): 3.50 eV per formula unit
# electronic total energy: -8.020 eV/atom
# space-group type: I4/mmm
data_V4FeRh2
_space_group_name_H-M_alt 'P 1'
_space_group_IT_number 1
_space_group_name_Hall 'P 1'
_cell_length_a 4.1998
_cell_length_b 4.1998
_cell_length_c 12.3390
_cell_angle_alpha 90.00
_cell_angle_beta 90.00
_cell_angle_gamma 90.00
loop_
_atom_site_label
_atom_site_type_symbol
_atom_site_fract_x
_atom_site_fract_y
_atom_site_fract_z
_atom_site_occupancy
V1 V 0.0000 0.0000 0.1844 1
V2 V 0.0000 0.0000 0.8156 1
V3 V 0.0000 0.5000 0.0000 1
V4 V 0.0000 0.5000 0.5000 1
V5 V 0.5000 0.0000 0.0000 1
V6 V 0.5000 0.0000 0.5000 1
V7 V 0.5000 0.5000 0.3156 1
V8 V 0.5000 0.5000 0.6844 1
Fe1 Fe 0.0000 0.0000 0.0000 1
Fe2 Fe 0.5000 0.5000 0.5000 1
Rh1 Rh 0.0000 0.0000 0.3722 1
Rh2 Rh 0.0000 0.0000 0.6278 1
Rh3 Rh 0.5000 0.5000 0.1278 1
Rh4 Rh 0.5000 0.5000 0.8722 1

---

Entry 2:
# PBE VFe2Rh, optimized geometry
# spin magnetization: 4.1 μB per formula unit
# calculated volume: 12.9 Å³/atom
# ΔH_f (0 K): -0.32 eV per formula unit
# electronic total energy: -8.429 eV/atom
# space-group type: Fm-3m
# polymorph energy (0 for the lowest one): 0.095 eV/atom
data_VFe2Rh
_space_group_name_H-M_alt 'P 1'
_space_group_IT_number 1
_space_group_name_Hall 'P 1'
_cell_length_a 5.9093
_cell_length_b 5.9093
_cell_length_c 5.9093
_cell_angle_alpha 90.00
_cell_angle_beta 90.00
_cell_angle_gamma 90.00
loop_
_atom_site_label
_atom_site_type_symbol
_atom_site_fract_x
_atom_site_fract_y
_atom_site_fract_z
_atom_site_occupancy
V1 V 0.0000 0.0000 0.0000 1
V2 V 0.0000 0.5000 0.5000 1
V3 V 0.5000 0.0000 0.5000 1
V4 V 0.5000 0.5000 0.0000 1
Fe1 Fe 0.2500 0.2500 0.2500 1
Fe2 Fe 0.2500 0.2500 0.7500 1
Fe3 Fe 0.2500 0.7500 0.2500 1
Fe4 Fe 0.2500 0.7500 0.7500 1
Fe5 Fe 0.7500 0.2500 0.2500 1
Fe6 Fe 0.7500 0.2500 0.7500 1
Fe7 Fe 0.7500 0.7500 0.2500 1
Fe8 Fe 0.7500 0.7500 0.7500 1
Rh1 Rh 0.0000 0.0000 0.5000 1
Rh2 Rh 0.0000 0.5000 0.0000 1
Rh3 Rh 0.5000 0.0000 0.0000 1
Rh4 Rh 0.5000 0.5000 0.5000 1

---

Entry 3:
# PBE VFeRh14, optimized geometry
# spin magnetization: 3.1 μB per formula unit
# calculated volume: 14.0 Å³/atom
# ΔH_f (0 K): -1.44 eV per formula unit
# electronic total energy: -7.621 eV/atom
# space-group type: P4/mmm
data_VFeRh14
_space_group_name_H-M_alt 'P 1'
_space_group_IT_number 1
_space_group_name_Hall 'P 1'
_cell_length_a 5.4078
_cell_length_b 5.4078
_cell_length_c 7.6595
_cell_angle_alpha 90.00
_cell_angle_beta 90.00
_cell_angle_gamma 90.00
loop_
_atom_site_label
_atom_site_type_symbol
_atom_site_fract_x
_atom_site_fract_y
_atom_site_fract_z
_atom_site_occupancy
V1 V 0.0000 0.0000 0.0000 1
Fe1 Fe 0.5000 0.5000 0.0000 1
Rh1 Rh 0.0000 0.0000 0.5000 1
Rh2 Rh 0.0000 0.5000 0.0000 1
Rh3 Rh 0.0000 0.5000 0.5000 1
Rh4 Rh 0.2492 0.2492 0.2455 1
Rh5 Rh 0.2492 0.2492 0.7545 1
Rh6 Rh 0.2492 0.7508 0.2455 1
Rh7 Rh 0.2492 0.7508 0.7545 1
Rh8 Rh 0.5000 0.0000 0.0000 1
Rh9 Rh 0.5000 0.0000 0.5000 1
Rh10 Rh 0.5000 0.5000 0.5000 1
Rh11 Rh 0.7508 0.2492 0.2455 1
Rh12 Rh 0.7508 0.2492 0.7545 1
Rh13 Rh 0.7508 0.7508 0.2455 1
Rh14 Rh 0.7508 0.7508 0.7545 1

---

Entry 4:
# PBE V6Fe5Rh, optimized geometry
# spin magnetization: 4.9 μB per formula unit
# calculated volume: 12.3 Å³/atom
# ΔH_f (0 K): -1.48 eV per formula unit
# electronic total energy: -8.821 eV/atom
# space-group type: Immm
data_V6Fe5Rh
_space_group_name_H-M_alt 'P 1'
_space_group_IT_number 1
_space_group_name_Hall 'P 1'
_cell_length_a 7.1158
_cell_length_b 7.1158
_cell_length_c 7.1158
_cell_angle_alpha 146.41
_cell_angle_beta 131.58
_cell_angle_gamma 60.22
loop_
_atom_site_label
_atom_site_type_symbol
_atom_site_fract_x
_atom_site_fract_y
_atom_site_fract_z
_atom_site_occupancy
V1 V 0.0717 0.3277 0.7440 1
V2 V 0.2359 0.0000 0.2359 1
V3 V 0.4163 0.6723 0.7440 1
V4 V 0.5837 0.3277 0.2560 1
V5 V 0.7641 0.0000 0.7641 1
V6 V 0.9283 0.6723 0.2560 1
Fe1 Fe 0.0000 0.5000 0.5000 1
Fe2 Fe 0.1668 0.1668 0.0000 1
Fe3 Fe 0.3375 0.8375 0.5000 1
Fe4 Fe 0.6625 0.1625 0.5000 1
Fe5 Fe 0.8332 0.8332 0.0000 1
Rh1 Rh 0.5000 0.5000 0.0000 1